1.
YGa2Hg after structural relaxation. Source: Alexandria, functional GGA-PBE. Values from VASP.

```
&SYSTEM
  ibrav = 0, nat = 4, ntyp = 3
/
ATOMIC_SPECIES
Ga 69.72 Ga.upf
Y 88.91 Y.upf
Hg 200.59 Hg.upf
CELL_PARAMETERS angstrom
-1.0900 2.0148 -3.6075
-4.2993 -0.3750 1.0895
0.1971 3.9073 2.1226
ATOMIC_POSITIONS angstrom
Ga 0.0985 1.9536 1.0613
Y -0.5450 1.0074 -1.8038
Ga -2.1496 -0.1875 0.5448
Hg -2.5961 2.7735 -0.1977
```

## Properties
The space group is No. 123. The raw total energy is -3.64 eV/atom. For the volume, the calculation gives 84.66 Å³/f.u. The energy relative to the elements is -0.437 eV/atom.

***

2.
SrLa2BeW after structural relaxation. Source: Alexandria, functional GGA-PBE. Values from VASP.

```
&SYSTEM
  ibrav = 0, nat = 5, ntyp = 4
/
ATOMIC_SPECIES
Sr 87.62 Sr.upf
Be 9.01 Be.upf
La 138.91 La.upf
W 183.84 W.upf
CELL_PARAMETERS angstrom
5.4646 0.0000 0.0000
0.0000 6.0795 0.0000
0.0000 0.0000 5.4646
ATOMIC_POSITIONS angstrom
Sr 0.0000 3.0397 0.0000
Be 2.7323 3.0397 2.7323
La 0.0000 0.0000 2.7323
W 0.0000 0.0000 0.0000
La 2.7323 0.0000 0.0000
```

## Properties
The space group is No. 123. The raw total energy is -4.66 eV/atom. For the volume, the calculation gives 181.55 Å³/f.u. The energy relative to the elements is 0.980 eV/atom.

***

3.
LiLaBeCu2 after structural relaxation. Source: Alexandria, functional GGA-PBE. Values from VASP.

```
&SYSTEM
  ibrav = 0, nat = 5, ntyp = 4
/
ATOMIC_SPECIES
Li 6.94 Li.upf
Cu 63.55 Cu.upf
La 138.91 La.upf
Be 9.01 Be.upf
CELL_PARAMETERS angstrom
-3.1579 1.4461 2.6944
-3.0388 -1.9170 -2.5326
0.3466 -3.7327 2.4095
ATOMIC_POSITIONS angstrom
Li 0.1733 -1.8664 1.2048
Cu -1.5789 0.7230 1.3472
La -2.9250 -2.1018 1.2857
Cu -1.5194 -0.9585 -1.2663
Be 0.0000 0.0000 0.0000
```

## Properties
The space group is No. 123. The raw total energy is -3.70 eV/atom. For the volume, the calculation gives 86.11 Å³/f.u. The energy relative to the elements is 0.055 eV/atom.

***

Q: Which value of energy relative to the elements does entry 2 give?
A: 0.980 eV/atom

***

Repeat the third record exactly.
LiLaBeCu2 after structural relaxation. Source: Alexandria, functional GGA-PBE. Values from VASP.

```
&SYSTEM
  ibrav = 0, nat = 5, ntyp = 4
/
ATOMIC_SPECIES
Li 6.94 Li.upf
Cu 63.55 Cu.upf
La 138.91 La.upf
Be 9.01 Be.upf
CELL_PARAMETERS angstrom
-3.1579 1.4461 2.6944
-3.0388 -1.9170 -2.5326
0.3466 -3.7327 2.4095
ATOMIC_POSITIONS angstrom
Li 0.1733 -1.8664 1.2048
Cu -1.5789 0.7230 1.3472
La -2.9250 -2.1018 1.2857
Cu -1.5194 -0.9585 -1.2663
Be 0.0000 0.0000 0.0000
```

## Properties
The space group is No. 123. The raw total energy is -3.70 eV/atom. For the volume, the calculation gives 86.11 Å³/f.u. The energy relative to the elements is 0.055 eV/atom.

***

What did the first record say?
YGa2Hg after structural relaxation. Source: Alexandria, functional GGA-PBE. Values from VASP.

```
&SYSTEM
  ibrav = 0, nat = 4, ntyp = 3
/
ATOMIC_SPECIES
Ga 69.72 Ga.upf
Y 88.91 Y.upf
Hg 200.59 Hg.upf
CELL_PARAMETERS angstrom
-1.0900 2.0148 -3.6075
-4.2993 -0.3750 1.0895
0.1971 3.9073 2.1226
ATOMIC_POSITIONS angstrom
Ga 0.0985 1.9536 1.0613
Y -0.5450 1.0074 -1.8038
Ga -2.1496 -0.1875 0.5448
Hg -2.5961 2.7735 -0.1977
```

## Properties
The space group is No. 123. The raw total energy is -3.64 eV/atom. For the volume, the calculation gives 84.66 Å³/f.u. The energy relative to the elements is -0.437 eV/atom.

***

Q: The highest raw total energy belongs to which entry?
A: YGa2Hg